Record 1
Here is a relaxed Ce6Fe2Si crystal from Alexandria via LeMat-Bulk. Energies are from PBE.

extended XYZ file:
```
9
Lattice="4.881 -2.457 0.000 4.881 2.457 0.000 -1.071 0.000 8.387" Properties=species:S:1:pos:R:3 pbc="T T T"
Ce 0.109 0.000 2.971
Ce 2.067 0.000 7.456
Ce 3.424 0.000 2.816
Ce 5.267 0.000 5.571
Ce 6.624 0.000 0.931
Ce 8.581 0.000 5.416
Fe 1.987 0.000 5.281
Fe 6.704 0.000 3.106
Si 0.000 0.000 0.000
```

Computed properties:
**Uncorrected formation energy**: -0.2039 eV/atom
**Theoretical density**: 8.10 g/cm3
**E**: -6.6430 eV per atom
**M_tot**: 0.00 μB/f.u.
**Fermi-level density of states**: 16.0 states/eV/cell


Record 2
Here is a relaxed Ce2Fe12Si7 crystal from Alexandria via LeMat-Bulk. Energies are from PBE.

extended XYZ file:
```
21
Lattice="9.165 0.000 0.000 -4.582 7.937 0.000 0.000 0.000 3.749" Properties=species:S:1:pos:R:3 pbc="T T T"
Ce 0.000 0.000 0.000
Ce 0.000 5.291 1.875
Fe -0.857 2.301 1.875
Fe -2.344 5.795 0.000
Fe -2.161 7.528 1.875
Fe 0.736 3.010 0.000
Fe 2.698 1.476 0.000
Fe 3.131 3.468 1.875
Fe 4.595 0.978 1.875
Fe 1.608 7.069 0.000
Fe 3.018 6.044 1.875
Fe 4.512 4.862 0.000
Fe 6.537 1.598 0.000
Fe 6.020 3.491 1.875
Si -1.578 3.588 0.000
Si 1.463 1.801 1.875
Si -0.686 7.509 0.000
Si 2.264 4.776 0.000
Si 4.582 2.646 0.000
Si 6.873 0.367 1.875
Si 5.410 5.769 1.875
```

Computed properties:
**Uncorrected formation energy**: -0.3999 eV/atom
**Theoretical density**: 6.98 g/cm3
**E**: -7.6085 eV per atom
**M_tot**: 9.52 μB/f.u.
**Fermi-level density of states**: 20.4 states/eV/cell


Record 3
Here is a relaxed Ce2Fe2Si crystal from Alexandria via LeMat-Bulk. Energies are from PBE.

extended XYZ file:
```
10
Lattice="4.987 -2.417 0.000 4.987 2.417 0.000 -2.000 0.000 7.489" Properties=species:S:1:pos:R:3 pbc="T T T"
Ce 1.752 1.639 6.499
Ce 5.221 1.639 4.735
Ce 2.753 -1.639 2.754
Ce 6.222 -1.639 0.990
Fe 2.751 0.483 3.541
Fe 1.751 -0.483 7.286
Fe 6.223 0.483 0.203
Fe 5.223 -0.483 3.948
Si 4.487 0.627 1.872
Si 3.487 -0.627 5.617
```

Computed properties:
**Uncorrected formation energy**: -0.3780 eV/atom
**Theoretical density**: 7.73 g/cm3
**E**: -7.2212 eV per atom
**M_tot**: 0.00 μB/f.u.
**Fermi-level density of states**: 10.2 states/eV/cell


Record 4
Here is a relaxed Ce6FeSi2 crystal from Alexandria via LeMat-Bulk. Energies are from PBE.

extended XYZ file:
```
9
Lattice="4.338 0.000 0.000 0.000 6.749 3.666 0.000 -6.749 3.666" Properties=species:S:1:pos:R:3 pbc="T T T"
Ce 0.000 0.000 0.000
Ce 0.000 -1.713 2.295
Ce 0.000 1.713 2.295
Ce 2.169 -3.830 3.598
Ce 2.169 0.000 4.480
Ce 2.169 3.830 3.598
Fe 2.169 0.000 2.231
Si 0.000 -2.156 5.200
Si 0.000 2.156 5.200
```

Computed properties:
**Uncorrected formation energy**: -0.3173 eV/atom
**Theoretical density**: 7.37 g/cm3
**E**: -6.4187 eV per atom
**M_tot**: 3.15 μB/f.u.
**Fermi-level density of states**: 23.3 states/eV/cell


Record 5
Here is a relaxed CeFeSi2 crystal from Alexandria via LeMat-Bulk. Energies are from PBE.

extended XYZ file:
```
16
Lattice="6.645 0.000 0.000 0.000 4.039 0.000 0.000 0.000 9.984" Properties=species:S:1:pos:R:3 pbc="T T T"
Ce 1.133 1.010 1.244
Ce 2.189 3.029 6.236
Ce 4.456 1.010 3.748
Ce 5.512 3.029 8.740
Fe 0.036 3.029 3.886
Fe 3.287 1.010 8.878
Fe 3.358 3.029 1.106
Fe 6.610 1.010 6.098
Si 1.008 1.010 8.166
Si 1.178 1.010 4.179
Si 2.144 3.029 9.171
Si 2.314 3.029 3.174
Si 4.331 1.010 6.810
Si 4.501 1.010 0.813
Si 5.467 3.029 5.805
Si 5.637 3.029 1.818
```

Computed properties:
**Uncorrected formation energy**: -0.6739 eV/atom
**Theoretical density**: 6.25 g/cm3
**E**: -6.9846 eV per atom
**M_tot**: 0.00 μB/f.u.
**Fermi-level density of states**: 13.9 states/eV/cell


Record 6
Here is a relaxed Ce2FeSi3 crystal from Alexandria via LeMat-Bulk. Energies are from PBE.

extended XYZ file:
```
12
Lattice="0.000 4.064 6.951 4.054 0.000 6.951 4.054 4.064 0.000" Properties=species:S:1:pos:R:3 pbc="T T T"
Ce 6.151 4.064 6.951
Ce 2.027 2.032 3.476
Ce 6.080 6.097 10.427
Ce 1.956 4.064 6.951
Fe 4.054 4.064 2.289
Fe 4.054 4.064 11.614
Si 4.054 2.017 5.768
Si 4.054 4.064 4.582
Si 4.054 2.017 8.135
Si 4.054 6.111 5.768
Si 4.054 4.064 9.321
Si 4.054 6.111 8.135
```

Computed properties:
**Uncorrected formation energy**: -0.6543 eV/atom
**Theoretical density**: 6.09 g/cm3
**E**: -6.7542 eV per atom
**M_tot**: 0.06 μB/f.u.
**Energy above the most stable polymorph in this dataset**: 0.000 eV per atom
**Fermi-level density of states**: 12.9 states/eV/cell


theoretical density of number 1 (Ce6Fe2Si)? 8.10 g/cm3